Below is Mo3OsI at its PBEsol-relaxed geometry, with properties calculated at the SCAN level.

density = 9.685 g/cm3
formation energy from raw total energies = 14.3 eV per formula unit
electronic total energy = -39.79 eV per atom

Geometry as POSCAR:
```
Mo3OsI
1.0
4.6985 0.0000 0.0000
0.0000 4.6985 0.0000
0.0000 0.0000 4.6985
I Mo Os
1 3 1
direct
0.0000 0.0000 0.0000 I
0.0000 0.5000 0.0000 Mo
0.0000 0.0000 0.5000 Mo
0.5000 0.0000 0.0000 Mo
0.5000 0.5000 0.5000 Os
```

Below is Sc2OsPb at its PBEsol-relaxed geometry, with properties calculated at the SCAN level.

density = 10.079 g/cm3
electronic total energy = -44.68 eV per atom

Geometry as POSCAR:
```
Sc2OsPb
1.0
-3.1784 0.4267 -0.2449
0.0387 -1.3796 -2.9051
-1.1837 -6.9353 3.2777
Pb Sc Os
1 2 1
direct
0.5000 0.5000 0.5000 Pb
0.0000 0.0000 0.8019 Sc
0.0000 0.0000 0.1981 Sc
0.5000 0.5000 0.0000 Os
```

Below is Cr2RhBr at its PBEsol-relaxed geometry, with properties calculated at the SCAN level.

relative energy among the computed polymorphs = 0.000 eV/atom
density = 8.132 g/cm3
formation energy from raw total energies = 1.5 eV per formula unit
electronic total energy = -22.11 eV per atom

Geometry as POSCAR:
```
Cr2RhBr
1.0
3.0345 0.0000 0.0000
0.0000 4.3479 0.0000
0.0000 0.0000 4.4391
Br Cr Rh
1 2 1
direct
0.0000 0.5000 0.5000 Br
0.0000 0.0000 0.0000 Cr
0.5000 0.5000 0.0000 Cr
0.5000 0.0000 0.5000 Rh
```

Below is AlSnPPd2 at its PBEsol-relaxed geometry, with properties calculated at the SCAN level.

density = 5.458 g/cm3
electronic total energy = -23.05 eV per atom

Geometry as POSCAR:
```
AlSnPPd2
1.0
4.8728 0.0000 0.0000
0.0000 4.9313 0.0000
0.0000 0.0000 4.9313
P Sn Pd Al
1 1 2 1
direct
0.5000 0.0000 0.0000 P
0.0000 0.0000 0.0000 Sn
0.0000 0.0000 0.5000 Pd
0.0000 0.5000 0.0000 Pd
0.5000 0.5000 0.5000 Al
```

Below is Mn2AlAu at its PBEsol-relaxed geometry, with properties calculated at the SCAN level.

relative energy among the computed polymorphs = 0.000 eV/atom
density = 10.007 g/cm3
electronic total energy = -28.82 eV per atom

Geometry as POSCAR:
```
Mn2AlAu
1.0
-1.6132 -3.0057 -1.6222
1.9899 0.6310 -3.1480
2.8532 -2.2603 1.3505
Mn Au Al
2 1 1
direct
0.0000 0.5000 0.0000 Mn
0.5000 0.0000 0.0000 Mn
0.0000 0.0000 0.5000 Au
0.5000 0.5000 0.5000 Al
```

Below is ReP2OF at its PBEsol-relaxed geometry, with properties calculated at the SCAN level.

density = 7.852 g/cm3
formation energy from raw total energies = 5.5 eV per formula unit
electronic total energy = -19.23 eV per atom

Geometry as POSCAR:
```
ReP2OF
1.0
-0.6371 -2.1816 3.0758
3.5194 0.7762 1.2795
-1.4497 3.2584 2.0108
Re F O P
1 1 1 2
direct
0.5000 0.5000 0.5000 Re
0.0000 0.0000 0.0000 F
0.0000 0.0000 0.5000 O
0.0000 0.5000 0.0000 P
0.5000 0.0000 0.0000 P
```

Below is BaZn2Sb at its PBEsol-relaxed geometry, with properties calculated at the SCAN level.

density = 6.339 g/cm3
formation energy from raw total energies = -0.6 eV per formula unit
electronic total energy = -26.10 eV per atom

Geometry as POSCAR:
```
BaZn2Sb
1.0
3.8152 0.0000 0.0000
0.0000 3.8152 0.0000
0.0000 0.0000 7.0168
Ba Sb Zn
1 1 2
direct
0.5000 0.5000 0.0000 Ba
0.5000 0.5000 0.5000 Sb
0.0000 0.0000 0.6890 Zn
0.0000 0.0000 0.3110 Zn
```

Below is Co3ReTe at its PBEsol-relaxed geometry, with properties calculated at the SCAN level.

density = 9.225 g/cm3
formation energy from raw total energies = 9.3 eV per formula unit
electronic total energy = -30.19 eV per atom

Geometry as POSCAR:
```
Co3ReTe
1.0
4.4532 0.0000 0.0000
0.0000 4.4532 0.0000
0.0000 0.0000 4.4532
Re Te Co
1 1 3
direct
0.5000 0.5000 0.5000 Re
0.0000 0.0000 0.0000 Te
0.0000 0.5000 0.0000 Co
0.0000 0.0000 0.5000 Co
0.5000 0.0000 0.0000 Co
```

Number 1: size of the total moment 1.665 μB per cell. Number 2: size of the total moment 0.000 μB per cell. Number 3: size of the total moment 0.086 μB per cell. Number 4: size of the total moment 0.000 μB per cell. Number 5: size of the total moment 6.946 μB per cell. Number 6: size of the total moment 0.070 μB per cell. Number 7: size of the total moment 0.000 μB per cell. Number 8: size of the total moment 7.646 μB per cell.